No. 1
Material: Dy4PuSe6
Method: DFT, PBE
State: relaxed

Output
- SG: Cmcm (63)
- Formation energy from raw total energies: -1753 meV per atom
- V: 25.59 Å³/atom

abc: 4.048 7.009 20.722
angles: 90.00 90.00 106.78
Site moments in Bohr magnetons follow the coordinates.
Atoms (fractional coordinates):
Dy  0.860  0.720  0.540  -0.01
Dy  0.410  0.819  0.128  0.02
Dy  0.140  0.280  0.460  -0.01
Dy  0.590  0.181  0.872  0.02
Dy  0.860  0.720  0.960  -0.01
Dy  0.140  0.280  0.040  -0.01
Dy  0.590  0.181  0.628  0.02
Dy  0.410  0.819  0.372  0.02
Pu  0.657  0.314  0.250  5.46
Pu  0.343  0.686  0.750  5.46
Se  0.500  0.000  0.000  0.00
Se  0.500  0.000  0.500  0.00
Se  0.048  0.096  0.334  -0.03
Se  0.952  0.904  0.666  -0.03
Se  0.952  0.904  0.834  -0.03
Se  0.048  0.096  0.166  -0.03
Se  0.769  0.539  0.410  0.00
Se  0.231  0.461  0.590  0.00
Se  0.231  0.461  0.910  0.00
Se  0.769  0.539  0.090  0.00
Se  0.316  0.632  0.250  -0.04
Se  0.684  0.368  0.750  -0.04



No. 2
Material: Ca2ScHPb
Method: DFT, PBE
State: relaxed

Output
- E_tot: -18.938 eV for the cell shown
- SG: P4/mmm (123)
- V: 22.63 Å³/atom

abc: 4.844 4.844 4.821
angles: 90.00 90.00 90.00
Site moments in Bohr magnetons follow the coordinates.
Atoms (fractional coordinates):
Pb  0.500  0.500  0.500  -0.03
Sc  0.000  0.000  0.500  0.72
Ca  0.000  0.500  0.000  0.10
Ca  0.500  0.000  0.000  0.10
H  0.000  0.000  0.000  -0.01